# 1
# Ta5Sn

Ta5Sn after structural relaxation (PBE, Alexandria).

Calculated values
Calculated total energy, eV for the cell shown: -126.00
Mass density, g/cm3: 15.04
Energy of formation, kJ per mole of atoms: 4
Size of the total moment, μB/cell: 0.00
Excess energy over the best structure of this formula in the dataset, eV per atom: 0.061

Cell lengths 4.7859, 9.8844, 4.7783 Å; angles 90.00, 90.00, 90.00 degrees
Closest atoms and distances in Å follow each position.
Space group Cmmm (No. 65)
Asymmetric unit:
Ta  0.0000  0.0000  0.0000 x2  10 Ta 2.92-3.21
Ta  0.0000  0.1698  0.5000 x4  6 Ta 2.84-2.92, 2 Sn 2.92
Ta  0.0000  0.3246  0.0000 x4  6 Ta 2.81-2.95, 2 Sn 2.95
Sn  0.0000  0.5000  0.5000 x2  10 Ta 2.92-3.26



# 2
# TaZn2Mo

TaZn2Mo after structural relaxation (PBE, Alexandria).

Calculated values
Calculated total energy, eV for the cell shown: -92.16
Mass density, g/cm3: 10.15
Energy of formation, kJ per mole of atoms: 53
Size of the total moment, μB/cell: 0.00
Excess energy over the best structure of this formula in the dataset, eV per atom: 0.535

Cell lengths 7.0754, 7.0754, 5.3311 Å; angles 90.00, 90.00, 90.00 degrees
Closest atoms and distances in Å follow each position.
Space group I-42d (No. 122)
Asymmetric unit:
Ta  0.0000  0.0000  0.0000 x4  4 Zn 2.62, 2 Mo 2.67
Zn  0.2426  0.2500  0.6250 x8  2 Mo 2.55, 2 Ta 2.62, 2 Zn 2.67
Mo  0.0000  0.0000  0.5000 x4  4 Zn 2.55, 2 Ta 2.67



# 3
# TaNiP

TaNiP after structural relaxation (PBE, Alexandria).

Calculated values
Calculated total energy, eV for the cell shown: -47.69
Mass density, g/cm3: 11.04
Energy of formation, kJ per mole of atoms: -26
Size of the total moment, μB/cell: 0.00

Cell lengths 2.7792, 3.2857, 8.9182 Å; angles 90.00, 90.00, 90.00 degrees
Closest atoms and distances in Å follow each position.
Space group Imm2 (No. 44)
Asymmetric unit:
Ta  0.0000  0.0000  0.0000 x2  5 Ni 2.72-2.80, 5 P 2.72-2.79, 2 Ta 2.78
Ni  0.0000  0.0000  0.3141 x2  4 P 2.43, 4 Ta 2.72
P  0.0000  0.0000  0.6872 x2  4 Ni 2.43



# 4
# Sm2Dy3Y6Pu

Sm2Dy3Y6Pu after structural relaxation (PBE, Alexandria).

Calculated values
Calculated total energy, eV for the cell shown: -151.53
Mass density, g/cm3: 6.80
Energy of formation, kJ per mole of atoms: 5
Size of the total moment, μB/cell: 12.70

Cell lengths 6.1704, 10.6922, 11.7660 Å; angles 90.00, 100.11, 90.00 degrees
Closest atoms and distances in Å follow each position.
Space group C2/m (No. 12)
Asymmetric unit:
Sm  0.0000  0.1666  0.0000 x4  6 Y 3.56, 3 Sm 3.56, 3 Pu 3.56-3.57
Dy  0.0000  0.0000  0.5000 x2  6 Y 3.55-3.57, 6 Dy 3.56
Dy  0.0000  0.3331  0.5000 x4  6 Y 3.55-3.57, 6 Dy 3.56-3.57
Y  0.2461  0.5000  0.7501 x4  6 Y 3.52-3.59, 1 Pu 3.54, 3 Dy 3.55-3.57, 2 Sm 3.56
Y  0.2481  0.3353  0.2498 x8  6 Y 3.52-3.59, 1 Pu 3.54, 3 Dy 3.55-3.57, 2 Sm 3.56
Pu  0.0000  0.5000  0.0000 x2  6 Y 3.54, 6 Sm 3.56-3.57



# 5
# CaNd3Ho2

CaNd3Ho2 after structural relaxation (PBE, Alexandria).

Calculated values
Calculated total energy, eV for the cell shown: -97.18
Mass density, g/cm3: 6.34
Energy of formation, kJ per mole of atoms: 19
Size of the total moment, μB/cell: 0.00

Cell lengths 12.3477, 10.1338, 6.7219 Å; angles 90.00, 90.15, 90.00 degrees
Closest atoms and distances in Å follow each position.
Space group C2/m (No. 12)
Asymmetric unit:
Ca  0.0192  0.0000  0.2501 x4  1 Nd 3.32, 2 Ca 3.39
Nd  0.2123  0.5000  0.7507 x4  1 Ca 3.32, 2 Nd 3.35, 4 Ho 3.57
Nd  0.2477  0.1721  0.7497 x8  4 Nd 3.35-3.72, 2 Ho 3.54, 1 Ca 3.73
Ho  0.0000  0.3283  0.0000 x4  3 Ho 3.36-3.48, 4 Nd 3.54-3.57, 2 Ca 3.73
Ho  0.0000  0.3284  0.5000 x4  3 Ho 3.36-3.48, 4 Nd 3.54-3.57, 2 Ca 3.74



# 6
# LiDyP2Pt5

LiDyP2Pt5 after structural relaxation (PBE, Alexandria).

Calculated values
Calculated total energy, eV for the cell shown: -53.81
Mass density, g/cm3: 11.22
Energy of formation, kJ per mole of atoms: -67
Size of the total moment, μB/cell: 0.00

Cell lengths 3.9731, 3.9731, 11.3139 Å; angles 90.00, 90.00, 90.00 degrees
Closest atoms and distances in Å follow each position.
Space group P4/mmm (No. 123)
Asymmetric unit:
Li  0.0000  0.0000  0.0000 x1  4 Pt 2.81
Dy  0.0000  0.0000  0.5000 x1  8 Pt 2.95
P  0.5000  0.5000  0.1986 x2  5 Pt 2.25-2.34
Pt  0.0000  0.5000  0.3077 x4  2 P 2.34
Pt  0.5000  0.5000  0.0000 x1  2 P 2.25



Question: Among the records above, which one has the lowest energy of formation?
Answer: LiDyP2Pt5



Question: Among the records above, which one has the highest mass density?
Answer: Ta5Sn